Record 1
{"formula": "Ca2LaSi", "functional": "PBE", "state": "relaxed", "e_tot_ev_per_atom": -3.658, "formation_energy_uncorrected_kj_per_mol_fu": -27, "spacegroup": "P2/m", "lattice": [[4.928, 0.000, 0.000], [0.000, 3.872, 0.003], [0.000, 2.353, 6.458]], "species": ["Ca", "Ca", "La", "Si"], "fractional_positions": [[0.000, 0.912, 0.966], [0.000, 0.588, 0.534], [0.500, 0.250, 0.250], [0.500, 0.750, 0.750]]}

Record 2
{"formula": "AsBrCl2", "functional": "PBE", "state": "relaxed", "e_tot_ev_per_atom": -3.067, "de_polymorph_ev_per_fu": 0.223, "formation_energy_uncorrected_kj_per_mol_fu": -217, "spacegroup": "Pm", "lattice": [[3.766, 0.000, 0.000], [0.000, 6.661, 0.034], [0.000, 2.718, 6.589]], "species": ["As", "Br", "Cl", "Cl"], "fractional_positions": [[0.000, 0.560, 0.422], [0.500, 0.670, 0.634], [0.000, 0.872, 0.164], [0.500, 0.398, 0.280]]}

Record 3
{"formula": "LiFe2Si", "functional": "PBE", "state": "relaxed", "e_tot_ev_per_atom": -6.000, "formation_energy_uncorrected_kj_per_mol_fu": 25, "spacegroup": "R3m", "lattice": [[8.406, -0.007, -0.004], [8.008, 2.557, -0.004], [8.008, 1.244, 2.234]], "species": ["Fe", "Fe", "Li", "Si"], "fractional_positions": [[0.001, 0.001, 0.001], [0.257, 0.257, 0.257], [0.499, 0.499, 0.499], [0.743, 0.743, 0.743]]}

Record 4
{"formula": "In6Hg12Au", "functional": "PBE", "state": "relaxed", "e_tot_ev_per_atom": -1.234, "spacegroup": "R-3", "lattice": [[8.043, 0.505, 1.213], [1.117, 7.982, 1.213], [0.545, 0.505, 8.116]], "species": ["In", "In", "In", "In", "In", "In", "Hg", "Hg", "Hg", "Hg", "Hg", "Hg", "Hg", "Hg", "Hg", "Hg", "Hg", "Hg", "Au"], "fractional_positions": [[0.231, 0.225, 0.843], [0.775, 0.157, 0.769], [0.157, 0.769, 0.775], [0.769, 0.775, 0.157], [0.225, 0.843, 0.231], [0.843, 0.231, 0.225], [0.517, 0.191, 0.513], [0.191, 0.513, 0.517], [0.513, 0.517, 0.191], [0.483, 0.809, 0.487], [0.809, 0.487, 0.483], [0.487, 0.483, 0.809], [0.862, 0.863, 0.525], [0.475, 0.138, 0.137], [0.137, 0.475, 0.138], [0.138, 0.137, 0.475], [0.525, 0.862, 0.863], [0.863, 0.525, 0.862], [0.000, 0.000, 0.000]]}

Record 5
{"formula": "As3CI", "functional": "PBE", "state": "relaxed", "e_tot_ev_per_atom": -2.279, "de_polymorph_ev_per_fu": 7.194, "formation_energy_uncorrected_kj_per_mol_fu": 1286, "spacegroup": "Pm-3m", "lattice": [[-3.864, 2.795, -2.615], [-3.048, 0.001, 4.505], [2.315, 4.666, 1.566]], "species": ["I", "As", "As", "As", "C"], "fractional_positions": [[0.000, 0.000, 0.000], [0.000, 0.500, 0.000], [0.000, 0.000, 0.500], [0.500, 0.000, 0.000], [0.500, 0.500, 0.500]]}

Record 6
{"formula": "KRe3Tc", "functional": "PBE", "state": "relaxed", "e_tot_ev_per_atom": -7.665, "de_polymorph_ev_per_fu": 0.000, "spacegroup": "Pm-3m", "lattice": [[4.808, 0.000, 0.000], [0.000, 4.808, 0.000], [0.000, 0.000, 4.808]], "species": ["Re", "Re", "Re", "K", "Tc"], "fractional_positions": [[0.000, 0.500, 0.000], [0.000, 0.000, 0.500], [0.500, 0.000, 0.000], [0.500, 0.500, 0.500], [0.000, 0.000, 0.000]]}

Record 7
{"formula": "FeW", "functional": "PBE", "state": "relaxed", "e_tot_ev_per_atom": -9.929, "spacegroup": "P6_3/mmc", "lattice": [[0.602, 3.939, 1.912], [-1.548, -3.393, 2.370], [6.722, -1.864, 1.722]], "species": ["Fe", "Fe", "Fe", "Fe", "W", "W", "W", "W"], "fractional_positions": [[0.333, 0.667, 0.077], [0.667, 0.333, 0.577], [0.667, 0.333, 0.923], [0.333, 0.667, 0.423], [0.000, 0.000, 0.250], [0.000, 0.000, 0.750], [0.333, 0.667, 0.750], [0.667, 0.333, 0.250]]}

Record 8
{"formula": "Rb2PtBrCl6", "functional": "PBE", "state": "relaxed", "e_tot_ev_per_atom": -3.047, "formation_energy_uncorrected_kj_per_mol_fu": -940, "spacegroup": "I4/mmm", "lattice": [[7.390, 0.000, 0.000], [0.000, 7.390, 0.000], [3.695, 3.695, 5.642]], "species": ["Br", "Rb", "Rb", "Pt", "Cl", "Cl", "Cl", "Cl", "Cl", "Cl"], "fractional_positions": [[0.500, 0.500, 0.000], [0.750, 0.250, 0.500], [0.250, 0.750, 0.500], [0.000, 0.000, 0.000], [0.208, 0.208, 0.584], [0.792, 0.792, 0.416], [0.228, 0.228, 0.000], [0.772, 0.772, 0.000], [0.772, 0.228, 0.000], [0.228, 0.772, 0.000]]}

Record 9
{"formula": "Er2Ag4Se5", "functional": "PBE", "state": "relaxed", "e_tot_ev_per_atom": -4.150, "formation_energy_uncorrected_kj_per_mol_fu": -743, "spacegroup": "R-3m", "lattice": [[4.197, 0.000, 0.000], [2.098, 3.634, 0.000], [2.098, 1.211, 18.144]], "species": ["Er", "Er", "Ag", "Ag", "Ag", "Ag", "Se", "Se", "Se", "Se", "Se"], "fractional_positions": [[0.136, 0.136, 0.591], [0.864, 0.864, 0.409], [0.686, 0.686, 0.941], [0.585, 0.585, 0.245], [0.415, 0.415, 0.755], [0.314, 0.314, 0.059], [0.775, 0.775, 0.675], [0.632, 0.632, 0.105], [0.500, 0.500, 0.500], [0.368, 0.368, 0.895], [0.225, 0.225, 0.325]]}

Record 10
{"formula": "TaInRu2", "functional": "PBE", "state": "relaxed", "e_tot_ev_per_atom": -8.250, "spacegroup": "Pmm2", "lattice": [[-2.619, -1.331, 0.049], [1.838, -3.580, 1.005], [-0.520, 1.217, 5.285]], "species": ["In", "Ru", "Ru", "Ta"], "fractional_positions": [[0.500, 0.500, 0.773], [0.000, 0.000, 0.991], [0.500, 0.500, 0.270], [0.000, 0.000, 0.466]]}

Record 11
{"formula": "MgRu2Br", "functional": "PBE", "state": "relaxed", "e_tot_ev_per_atom": -4.890, "de_polymorph_ev_per_fu": 1.799, "formation_energy_uncorrected_kj_per_mol_fu": 218, "spacegroup": "R-3m", "lattice": [[-5.071, 3.911, 5.906], [-6.314, 1.214, 5.879], [-3.933, 1.735, 7.577]], "species": ["Br", "Mg", "Ru", "Ru"], "fractional_positions": [[0.250, 0.250, 0.250], [0.750, 0.750, 0.750], [0.997, 0.997, 0.997], [0.503, 0.503, 0.503]]}

Record 12
{"formula": "Re2HgOs", "functional": "PBE", "state": "relaxed", "e_tot_ev_per_atom": -8.315, "spacegroup": "I-4m2", "lattice": [[4.893, 0.015, 0.000], [1.643, 4.609, 0.000], [-3.268, -2.312, 2.814]], "species": ["Hg", "Os", "Re", "Re"], "fractional_positions": [[0.500, 0.500, 0.000], [0.750, 0.250, 0.500], [0.000, 0.000, 0.000], [0.250, 0.750, 0.500]]}